1.
Si3Br: optimized geometry, GGA-PBE.

- Mass density: 3.39 g/cm3
- E_form (uncorrected): 1.56 eV/f.u.
- DOS(E_F): 2.49 states/eV per cell

Unit cell a=3.5933 b=3.5933 c=7.1993 alpha=90.00 beta=90.00 gamma=120.00
Atoms (fractional coordinates):
Si 0.0000 0.0000 0.0000
Si 0.6667 0.3333 0.1897
Si 0.6667 0.3333 0.8103
Br 0.0000 0.0000 0.5000

=====

2.
Tb2DyScSe4: optimized geometry, GGA-PBE.

- Mass density: 7.49 g/cm3
- E_form (uncorrected): -13.68 eV/f.u.
- DOS(E_F): 4.92 states/eV per cell

Unit cell a=6.9989 b=4.0002 c=7.0446 alpha=90.00 beta=108.99 gamma=90.00
Atoms (fractional coordinates):
Tb 0.0000 0.0000 0.0000
Tb 0.5000 0.5000 0.0000
Dy 0.0000 0.5000 0.5000
Sc 0.5000 0.0000 0.5000
Se 0.2544 0.0000 0.7429
Se 0.2607 0.5000 0.2620
Se 0.7393 0.5000 0.7380
Se 0.7456 0.0000 0.2571

=====

3.
Ti2BeHg: optimized geometry, GGA-PBE.

- Mass density: 7.95 g/cm3
- Formation enthalpy at 0 K: 0.0452 eV/atom
- DOS(E_F): 4.07 states/eV per cell

Unit cell a=3.9656 b=3.9656 c=4.0551 alpha=90.00 beta=90.00 gamma=90.00
Atoms (fractional coordinates):
Ti 0.0000 0.5000 0.0000
Ti 0.5000 0.0000 0.0000
Be 0.0000 0.0000 0.5000
Hg 0.5000 0.5000 0.5000